{
  "formula": "InCuReNi",
  "functional": "PBE",
  "state": "optimized geometry",
  "lattice": [[-2.295, -3.238, -1.854], [-4.358, 0.310, -0.320], [-1.871, 0.604, -3.915]],
  "species": ["Cu", "Re", "Ni", "In"],
  "frac_coords": [[0.750, 0.750, 0.750], [0.250, 0.250, 0.250], [0.500, 0.500, 0.500], [0.000, 0.000, 0.000]],
  "spacegroup": "No. 216",
  "e_above_lowest_polymorph_mev_per_atom": 112,
  "crystal_system": "cubic",
  "total_magnetization_mub_per_fu": 2.1
}